Entry 1:
Hf7Al2Ge2: relaxed, GGA-PBE.

```
Hf7Al2Ge2
1.0
-1.810 1.559 5.708
2.799 -5.340 2.345
5.557 2.663 -0.565
Hf Al Ge
7 2 2
Direct
0.000 0.272 0.500 Hf
0.500 0.728 0.000 Hf
0.000 0.728 0.500 Hf
0.500 0.272 0.000 Hf
0.000 0.000 0.000 Hf
0.500 0.735 0.500 Hf
0.500 0.265 0.500 Hf
0.828 0.500 0.828 Al
0.172 0.500 0.172 Al
0.719 0.000 0.281 Ge
0.281 0.000 0.719 Ge
```

Output
DFT formation energy = -26 meV/atom
Electronic total energy = -86.68 eV per formula unit
Crystal system = orthorhombic

***

Entry 2:
Hf2AlGe: relaxed, GGA-PBE.

```
Hf2AlGe
1.0
0.000 3.360 3.360
3.360 0.000 3.360
3.360 3.360 0.000
Ge Hf Al
1 2 1
Direct
0.500 0.500 0.500 Ge
0.250 0.250 0.250 Hf
0.750 0.750 0.750 Hf
0.000 0.000 0.000 Al
```

Output
DFT formation energy = -180 meV/atom
Electronic total energy = -28.99 eV per formula unit
Crystal system = cubic
Offset from the most stable computed form = 378 meV/atom

***

Entry 3:
HfAlGe: relaxed, GGA-PBE.

```
HfAlGe
1.0
3.792 0.000 0.000
1.896 3.284 0.000
1.896 1.095 4.820
Hf Al Ge
1 1 1
Direct
0.332 0.332 0.003 Hf
0.536 0.536 0.392 Al
0.117 0.117 0.648 Ge
```

Output
DFT formation energy = -251 meV/atom
Electronic total energy = -19.07 eV per formula unit
Crystal system = trigonal